Entry i
Crystalline Tl3SnTe3 at its relaxed geometry, computed with PBE.

Summary:
M_tot: 0.000 μB/f.u.

Cell: 13.8822 5.2842 14.3519 Å, 90.00 90.00 90.00°
Closest atoms and distances in Å follow each position.
Space group Pnma (No. 62)
Inequivalent atoms, fractional coordinates:
Tl 0.0582 0.2500 0.1152 (multiplicity 4)  6 Te 3.40-3.77, 1 Tl 3.79
Tl 0.1694 0.7500 0.4833 (multiplicity 4)  6 Te 3.40-3.77
Tl 0.2307 0.7500 0.7828 (multiplicity 4)  5 Te 3.52-3.62, 1 Tl 3.79, 2 Sn 3.85
Sn 0.0574 0.2500 0.6824 (multiplicity 4)  4 Te 2.84-2.93
Te 0.0232 0.2500 0.3597 (multiplicity 4)  2 Sn 2.93
Te 0.0955 0.2500 0.8789 (multiplicity 4)  1 Sn 2.87
Te 0.2484 0.2500 0.6110 (multiplicity 4)  1 Sn 2.84



Entry ii
Crystalline Tl3SnTe3 at its relaxed geometry, computed with PBE.

Summary:
M_tot: 0.000 μB/f.u.

Cell: 9.3601 14.0929 8.5920 Å, 90.00 97.32 90.00°
Closest atoms and distances in Å follow each position.
Space group C2/m (No. 12)
Inequivalent atoms, fractional coordinates:
Tl 0.0000 0.1699 0.0000 (multiplicity 4)  6 Te 3.35-3.70
Tl 0.0000 0.2310 0.5000 (multiplicity 4)  4 Te 3.45-3.64, 2 Sn 3.77
Tl 0.0745 0.5000 0.8456 (multiplicity 4)  1 Tl 3.15, 3 Te 3.19-3.39
Sn 0.1753 0.0000 0.6377 (multiplicity 4)  4 Te 2.86-3.01
Te 0.1207 0.0000 0.2843 (multiplicity 4)  2 Sn 2.93-3.01, 1 Tl 3.19
Te 0.1877 0.3338 0.2233 (multiplicity 8)  1 Sn 2.86



Most stable one: entry i, least stable one: entry ii.



Entry i
Crystalline Tl2SnTe3 at its relaxed geometry, computed with PBE.

Summary:
M_tot: 0.000 μB/f.u.

Cell: 8.5944 22.6381 8.7691 Å, 90.00 90.00 90.00°
Closest atoms and distances in Å follow each position.
Space group Pnma (No. 62)
Inequivalent atoms, fractional coordinates:
Tl 0.1888 0.1674 0.0162 (multiplicity 8)  8 Te 3.44-3.83, 2 Tl 3.65-3.74
Tl 0.2365 0.0084 0.9620 (multiplicity 8)  4 Te 3.33-3.54, 1 Tl 3.65
Sn 0.1839 0.1653 0.5100 (multiplicity 8)  4 Te 2.79-2.87
Te 0.0075 0.2500 0.6790 (multiplicity 4)  2 Sn 2.86
Te 0.0112 0.0894 0.3222 (multiplicity 8)  1 Sn 2.80
Te 0.1055 0.6038 0.1926 (multiplicity 8)  1 Sn 2.79
Te 0.1461 0.7500 0.8319 (multiplicity 4)  2 Sn 2.87



Entry ii
Crystalline Tl2SnTe3 at its relaxed geometry, computed with PBE.

Summary:
M_tot: 0.000 μB/f.u.

Cell: 12.2398 8.8547 8.1660 Å, 90.00 99.47 90.00°
Closest atoms and distances in Å follow each position.
Space group C2/c (No. 15)
Inequivalent atoms, fractional coordinates:
Tl 0.1541 0.1550 0.1238 (multiplicity 8)  3 Te 3.25-3.39
Sn 0.0000 0.4235 0.7500 (multiplicity 4)  5 Te 2.81-3.14
Te 0.0000 0.1043 0.7500 (multiplicity 4)  1 Sn 2.83
Te 0.1533 0.4126 0.4769 (multiplicity 8)  2 Sn 2.81-3.14



Most stable one: entry i, least stable one: entry ii.



Entry i
Crystalline Tl3SnTe4 at its relaxed geometry, computed with PBE.

Summary:
M_tot: 0.000 μB/f.u.

Cell: 9.6368 12.2678 10.3512 Å, 90.00 90.00 90.00°
Closest atoms and distances in Å follow each position.
Space group Pnma (No. 62)
Inequivalent atoms, fractional coordinates:
Tl 0.0722 0.2500 0.1355 (multiplicity 4)  4 Te 3.25-3.57
Tl 0.0896 0.5665 0.3061 (multiplicity 8)  5 Te 3.30-3.64
Sn 0.2057 0.2500 0.5267 (multiplicity 4)  4 Te 2.79-2.81
Te 0.0627 0.7500 0.5764 (multiplicity 4)  1 Sn 2.80
Te 0.1464 0.5607 0.9584 (multiplicity 8)  1 Sn 2.81
Te 0.1610 0.2500 0.7931 (multiplicity 4)  1 Sn 2.79



Entry ii
Crystalline Tl3SnTe4 at its relaxed geometry, computed with PBE.

Summary:
M_tot: 0.000 μB/f.u.

Cell: 12.2397 6.9111 6.9034 Å, 90.00 90.00 90.00°
Closest atoms and distances in Å follow each position.
Space group Pmn2_1 (No. 31)
Inequivalent atoms, fractional coordinates:
Tl 0.0000 0.2146 0.0000 (multiplicity 2)  6 Te 3.42-3.61
Tl 0.2488 0.2888 0.5820 (multiplicity 4)  4 Te 3.10-3.37
Sn 0.0000 0.6409 0.4302 (multiplicity 2)  4 Te 2.83-2.86
Te 0.0000 0.2327 0.5013 (multiplicity 2)  1 Sn 2.86, 2 Tl 3.12
Te 0.0000 0.7085 0.0213 (multiplicity 2)  1 Sn 2.86, 2 Tl 3.10
Te 0.2073 0.7700 0.5591 (multiplicity 4)  1 Sn 2.83



Most stable one: entry ii, least stable one: entry i.